# LiHg2 PBE-GGA relaxed
# Energy of formation ... -0.22 eV/atom
# Magnetic moment ... 0.00 μB per atom
data_LiHg2
_cell_length_a 4.897
_cell_length_b 4.897
_cell_length_c 3.166
_cell_angle_alpha 90.00
_cell_angle_beta 90.00
_cell_angle_gamma 120.00
_symmetry_space_group_name_H-M 'P 1'
_symmetry_Int_Tables_number 1
loop_
_symmetry_equiv_pos_as_xyz
'x,y,z'
loop_
_atom_site_label
_atom_site_fract_x
_atom_site_fract_y
_atom_site_fract_z
Li1 0.000 0.000 0.000
Hg1 0.333 0.667 0.379
Hg2 0.667 0.333 0.621